A plane-wave DFT calculation with GGA-PBE was carried out for a relaxed structure of K2LiTmBr6.

```
K2LiTmBr6
1.0
7.569 0.000 -0.002
0.000 7.840 0.000
0.066 0.000 10.739
Li Br Tm K
2 12 2 4
Direct
0.500 0.000 0.000
0.000 0.500 0.500
0.205 0.201 0.457
0.584 0.015 0.249
0.802 0.792 0.958
0.198 0.208 0.042
0.295 0.701 0.043
0.916 0.515 0.251
0.705 0.299 0.957
0.795 0.799 0.543
0.302 0.708 0.458
0.084 0.485 0.749
0.416 0.985 0.751
0.698 0.292 0.542
0.000 0.500 0.000
0.500 0.000 0.500
0.520 0.566 0.752
0.020 0.934 0.252
0.980 0.066 0.748
0.480 0.434 0.248
```

Computed properties:
- Space group: P2_1/c
- Total DFT energy (no corrections): -72.57 eV for the cell shown
- Energy relative to the elements, uncorrected: -1.77 eV per atom
- D(E_F): 0.00 states/eV/f.u.